# Mo2HO6

A relaxed Mo2HO6 crystal (PBE+U, the Alexandria database).

Results
E = -6.397 eV/atom
N(E_F) = 0.0 states/eV per cell
ΔE to the lowest computed polymorph = 279 meV/atom

Cell lengths 5.2315, 5.2315, 16.3580 Å; angles 90.00, 90.00, 120.00 degrees
Space group R3 (No. 146, hexagonal axes)
Asymmetric unit:
Mo1 0.0000 0.0000 0.0000 x3
Mo2 0.0000 0.0000 0.2889 x3
H1 0.0000 0.0000 0.4176 x3
O1 0.0107 0.6310 0.5819 x9
O2 0.1182 0.3684 0.0545 x9